# 1
! GdTmZr PBE-GGA relaxed; values from VASP
! Formation energy (meV per atom): 794
! Density (g/cm3): 7.0
! Calculated total energy (eV per cell): -15.295
! Energy above the lowest structure with this stoichiometry (kJ/mol of atoms): 0.0
&SYSTEM
  ibrav = 0, nat = 3, ntyp = 3
/
ATOMIC_SPECIES
Gd 157.25 Gd.upf
Tm 168.93 Tm.upf
Zr 91.22 Zr.upf
CELL_PARAMETERS angstrom
0.0000 3.6773 3.6773
3.6773 0.0000 3.6773
3.6773 3.6773 0.0000
ATOMIC_POSITIONS angstrom
Gd 0.0000 0.0000 0.0000
Tm 3.6773 3.6773 3.6773
Zr 1.8387 1.8387 1.8387

# 2
! GdU2 PBE-GGA relaxed; values from VASP
! Formation energy (meV per atom): 3337
! Density (g/cm3): 5.1
! Calculated total energy (eV per cell): -34.471
&SYSTEM
  ibrav = 0, nat = 6, ntyp = 2
/
ATOMIC_SPECIES
Gd 157.25 Gd.upf
U 238.03 U.upf
CELL_PARAMETERS angstrom
0.0000 5.9195 5.9195
5.9195 0.0000 5.9195
5.9195 5.9195 0.0000
ATOMIC_POSITIONS angstrom
Gd 1.4799 1.4799 1.4799
Gd 10.3591 10.3591 10.3591
U 0.0000 0.0000 0.0000
U 2.9597 2.9597 0.0000
U 2.9597 0.0000 2.9597
U 0.0000 2.9597 2.9597

# 3
! GdUZn PBE-GGA relaxed; values from VASP
! Formation energy (meV per atom): 665
! Density (g/cm3): 10.0
! Calculated total energy (eV per cell): -15.221
! Energy above the lowest structure with this stoichiometry (kJ/mol of atoms): 0.0
&SYSTEM
  ibrav = 0, nat = 3, ntyp = 3
/
ATOMIC_SPECIES
Gd 157.25 Gd.upf
U 238.03 U.upf
Zn 65.41 Zn.upf
CELL_PARAMETERS angstrom
0.0000 3.3694 3.3694
3.3694 0.0000 3.3694
3.3694 3.3694 0.0000
ATOMIC_POSITIONS angstrom
Gd 0.0000 0.0000 0.0000
U 3.3694 3.3694 3.3694
Zn 1.6847 1.6847 1.6847

- Look up the formation energy of the first one.
  794 meV per atom

- Which formula does entry 1 have?
  GdTmZr